A plane-wave DFT calculation with PBE was carried out for crystalline UCuAg at its relaxed geometry.

Lattice parameters (Å, degrees): 4.731 4.731 4.731 60.00 60.00 60.00
Atoms (fractional coordinates):
Ag (0.000, 0.000, 0.000)
Cu (0.500, 0.500, 0.500)
U (0.250, 0.250, 0.250)

calculated formation energy: 343 kJ/mol of formula units
symmetry: No. 216
volume: 74.9 Å³/cell


A plane-wave DFT calculation with PBE was carried out for crystalline Sm2AlGe3 at its relaxed geometry.

Lattice parameters (Å, degrees): 6.877 4.299 18.007 90.00 90.00 90.00
Atoms (fractional coordinates):
Al (0.048, 0.750, 0.064)
Al (0.548, 0.750, 0.436)
Al (0.452, 0.250, 0.564)
Al (0.952, 0.250, 0.936)
Ge (0.243, 0.250, 0.035)
Ge (0.473, 0.750, 0.175)
Ge (0.858, 0.750, 0.188)
Ge (0.358, 0.750, 0.312)
Ge (0.973, 0.750, 0.325)
Ge (0.743, 0.250, 0.465)
Ge (0.257, 0.750, 0.535)
Ge (0.027, 0.250, 0.675)
Ge (0.642, 0.250, 0.688)
Ge (0.142, 0.250, 0.812)
Ge (0.527, 0.250, 0.825)
Ge (0.757, 0.750, 0.965)
Sm (0.672, 0.250, 0.085)
Sm (0.173, 0.250, 0.204)
Sm (0.673, 0.250, 0.296)
Sm (0.172, 0.250, 0.415)
Sm (0.828, 0.750, 0.585)
Sm (0.327, 0.750, 0.704)
Sm (0.827, 0.750, 0.796)
Sm (0.328, 0.750, 0.915)

E_tot: -5.1749 eV per atom
symmetry: No. 62
volume: 532.4 Å³/cell


A plane-wave DFT calculation with PBE was carried out for crystalline BaZn2Si2O7 at its relaxed geometry.

Lattice parameters (Å, degrees): 6.756 7.539 7.539 60.19 90.00 90.00
Atoms (fractional coordinates):
Ba (0.624, 0.740, 0.260)
Ba (0.124, 0.260, 0.740)
O (0.118, 0.898, 0.102)
O (0.623, 0.219, 0.170)
O (0.919, 0.562, 0.179)
O (0.324, 0.564, 0.182)
O (0.123, 0.170, 0.219)
O (0.324, 0.818, 0.436)
O (0.919, 0.821, 0.438)
O (0.419, 0.179, 0.562)
O (0.824, 0.182, 0.564)
O (0.623, 0.830, 0.781)
O (0.824, 0.436, 0.818)
O (0.419, 0.438, 0.821)
O (0.123, 0.781, 0.830)
O (0.618, 0.102, 0.898)
Si (0.122, 0.686, 0.080)
Si (0.122, 0.920, 0.314)
Si (0.622, 0.080, 0.686)
Si (0.622, 0.314, 0.920)
Zn (0.373, 0.275, 0.271)
Zn (0.873, 0.271, 0.275)
Zn (0.373, 0.729, 0.725)
Zn (0.873, 0.725, 0.729)

E_tot: -6.6033 eV per atom
symmetry: No. 36
volume: 333.2 Å³/cell


A plane-wave DFT calculation with PBE was carried out for crystalline PrInAu at its relaxed geometry.

Lattice parameters (Å, degrees): 7.457 7.457 4.689 90.00 90.00 120.00
Atoms (fractional coordinates):
Au (0.242, 0.000, 0.000)
Au (0.000, 0.242, 0.000)
Au (0.758, 0.758, 0.000)
In (0.667, 0.333, 0.000)
In (0.333, 0.667, 0.000)
In (0.000, 0.000, 0.500)
Pr (0.570, 0.000, 0.500)
Pr (0.430, 0.430, 0.500)
Pr (0.000, 0.570, 0.500)

E_tot: -4.1487 eV per atom
symmetry: No. 189
volume: 225.8 Å³/cell


A plane-wave DFT calculation with PBE was carried out for crystalline YScNiSb at its relaxed geometry.

Lattice parameters (Å, degrees): 4.897 4.897 4.897 60.00 60.00 60.00
Atoms (fractional coordinates):
Ni (0.750, 0.750, 0.750)
Sb (0.000, 0.000, 0.000)
Sc (0.250, 0.250, 0.250)
Y (0.500, 0.500, 0.500)

E_tot: -5.7293 eV per atom
symmetry: No. 216
volume: 83.0 Å³/cell


A plane-wave DFT calculation with PBE was carried out for crystalline Cu15Pb at its relaxed geometry.

Lattice parameters (Å, degrees): 7.008 2.639 34.058 90.00 90.03 90.00
Atoms (fractional coordinates):
Cu (0.125, 0.250, 0.018)
Cu (0.625, 0.250, 0.019)
Cu (0.375, 0.750, 0.055)
Cu (0.875, 0.750, 0.056)
Cu (0.124, 0.250, 0.093)
Cu (0.626, 0.250, 0.093)
Cu (0.375, 0.750, 0.130)
Cu (0.875, 0.750, 0.130)
Cu (0.121, 0.250, 0.168)
Cu (0.628, 0.250, 0.168)
Cu (0.375, 0.750, 0.204)
Cu (0.875, 0.750, 0.207)
Cu (0.622, 0.250, 0.244)
Cu (0.128, 0.250, 0.244)
Cu (0.375, 0.750, 0.278)
Cu (0.625, 0.250, 0.722)
Cu (0.872, 0.750, 0.756)
Cu (0.378, 0.750, 0.756)
Cu (0.125, 0.250, 0.793)
Cu (0.625, 0.250, 0.796)
Cu (0.372, 0.750, 0.832)
Cu (0.879, 0.750, 0.832)
Cu (0.125, 0.250, 0.870)
Cu (0.625, 0.250, 0.870)
Cu (0.374, 0.750, 0.907)
Cu (0.876, 0.750, 0.907)
Cu (0.125, 0.250, 0.944)
Cu (0.625, 0.250, 0.945)
Cu (0.375, 0.750, 0.981)
Cu (0.875, 0.750, 0.982)
Pb (0.875, 0.750, 0.300)
Pb (0.125, 0.250, 0.700)

E_tot: -3.5959 eV per atom
symmetry: No. 11
volume: 629.9 Å³/cell


Repeat the fourth record exactly.
A plane-wave DFT calculation with PBE was carried out for crystalline PrInAu at its relaxed geometry.

Lattice parameters (Å, degrees): 7.457 7.457 4.689 90.00 90.00 120.00
Atoms (fractional coordinates):
Au (0.242, 0.000, 0.000)
Au (0.000, 0.242, 0.000)
Au (0.758, 0.758, 0.000)
In (0.667, 0.333, 0.000)
In (0.333, 0.667, 0.000)
In (0.000, 0.000, 0.500)
Pr (0.570, 0.000, 0.500)
Pr (0.430, 0.430, 0.500)
Pr (0.000, 0.570, 0.500)

E_tot: -4.1487 eV per atom
symmetry: No. 189
volume: 225.8 Å³/cell